DFT (meta-GGA SCAN) results for Li2MoW at its PBEsol-relaxed geometry.

Calculated values
- E_tot (eV per atom) = -26.30
- density of states at the Fermi level (states/eV per atom) = 0.65
- energy of formation (kcal/mol of atoms) = 23.83
- V (Å³/atom) = 12.8
- energy above the most stable polymorph in this dataset (meV per atom) = 567.3

abc: 5.9011 5.9011 5.9011
angles: 90.00 90.00 90.00
Closest atoms and distances in Å follow each position.
Atoms (fractional coordinates):
1 Li 0.2500 0.2500 0.2500  4 W 2.56, 4 Mo 2.56
2 Li 0.2500 0.2500 0.7500  4 Mo 2.56, 4 W 2.56
3 Li 0.2500 0.7500 0.2500  4 Mo 2.56, 4 W 2.56
4 Li 0.2500 0.7500 0.7500  4 W 2.56, 4 Mo 2.56
5 Li 0.7500 0.2500 0.2500  4 Mo 2.56, 4 W 2.56
6 Li 0.7500 0.2500 0.7500  4 W 2.56, 4 Mo 2.56
7 Li 0.7500 0.7500 0.2500  4 W 2.56, 4 Mo 2.56
8 Li 0.7500 0.7500 0.7500  4 Mo 2.56, 4 W 2.56
9 Mo 0.0000 0.0000 0.0000  8 Li 2.56
10 Mo 0.0000 0.5000 0.5000  8 Li 2.56
11 Mo 0.5000 0.0000 0.5000  8 Li 2.56
12 Mo 0.5000 0.5000 0.0000  8 Li 2.56
13 W 0.0000 0.0000 0.5000  8 Li 2.56
14 W 0.0000 0.5000 0.0000  8 Li 2.56
15 W 0.5000 0.0000 0.0000  8 Li 2.56
16 W 0.5000 0.5000 0.5000  8 Li 2.56